Record 1
Here is a relaxed structure of TaMnInCu2 from Alexandria. Energies are from PBE.

Calculated values
Total moment, μB per cell: 1.8
VASP energy, Ry per atom: -0.37956

```
TaMnInCu2
1.0
4.882 0.000 0.000
0.000 4.882 0.000
0.000 0.000 4.501
Ta Mn In Cu
1 1 1 2
Direct
0.000 0.000 0.000 Ta
0.000 0.000 0.500 Mn
0.500 0.500 0.500 In
0.000 0.500 0.000 Cu
0.500 0.000 0.000 Cu
```

=====

Record 2
Here is a relaxed structure of PdRhBr3 from Alexandria. Energies are from PBE.

Calculated values
Raw formation energy, eV/atom: 0.376
Total moment, μB per cell: 1.2
VASP energy, Ry per atom: -0.23055

```
PdRhBr3
1.0
5.052 0.000 0.000
0.000 5.052 0.000
0.000 0.000 5.052
Pd Rh Br
1 1 3
Direct
0.000 0.000 0.000 Pd
0.500 0.500 0.500 Rh
0.000 0.500 0.500 Br
0.500 0.000 0.500 Br
0.500 0.500 0.000 Br
```

=====

Record 3
Here is a relaxed structure of Pm5CdSn8 from Alexandria. Energies are from PBE.

Calculated values
Total moment, μB per cell: 0.0
VASP energy, Ry per atom: -0.33049

```
Pm5CdSn8
1.0
-4.812 4.812 4.400
4.812 -4.812 4.400
4.812 4.812 -4.400
Pm Cd Sn
5 1 8
Direct
0.000 0.000 0.000 Pm
0.252 0.652 0.165 Pm
0.348 0.513 0.600 Pm
0.487 0.087 0.835 Pm
0.913 0.748 0.400 Pm
0.750 0.250 0.500 Cd
0.102 0.689 0.776 Sn
0.142 0.243 0.779 Sn
0.311 0.087 0.413 Sn
0.464 0.363 0.221 Sn
0.637 0.858 0.101 Sn
0.674 0.898 0.587 Sn
0.757 0.536 0.899 Sn
0.913 0.326 0.224 Sn
```